Compound: CuNiClO
Source: Alexandria
Functional: PBE with a Hubbard U
Structure: optimized geometry

Unit cell a=3.3823 b=3.6461 c=5.1687 alpha=90.00 beta=90.09 gamma=90.00
Fractional positions:
1 Cu 0.0000 0.0000 0.0000
2 Ni 0.4981 0.5000 0.6964
3 Cl 0.4982 0.0000 0.3898
4 O 0.9986 0.5000 0.8812

## Properties
As for the total energy: -3.873 eV per atom. The size of the total moment comes out at 0.508 μB/atom. Its space-group type is Pm.